The following is a DFT calculation (PBE-GGA) of a relaxed structure of ScFeSbI2.

Cell and atoms, written as extended XYZ:
```
5
Lattice="5.208 0.000 0.000 0.000 5.208 0.000 0.000 0.000 5.219" Properties=species:S:1:pos:R:3 pbc="T T T"
Sc 0.000 0.000 0.000
Fe 2.604 2.604 2.610
Sb 2.604 2.604 0.000
I 0.000 2.604 2.610
I 2.604 0.000 2.610
```

Summary:
V	142	Å³/cell
energy relative to the elements, uncorrected	350	meV/atom
E above lowest polymorph	0	meV per atom
M_tot	2.18	μB per formula unit
Fermi-level density of states	7.221	states/eV/f.u.



The following is a DFT calculation (PBE-GGA) of a relaxed structure of ScFeSbI2.

Cell and atoms, written as extended XYZ:
```
5
Lattice="5.572 0.000 0.000 0.000 5.572 0.000 0.000 0.000 5.836" Properties=species:S:1:pos:R:3 pbc="T T T"
Sc 0.000 0.000 0.000
Fe 2.786 2.786 2.918
Sb 0.000 0.000 2.918
I 0.000 2.786 0.000
I 2.786 0.000 0.000
```

Summary:
V	181	Å³/cell
energy relative to the elements, uncorrected	372	meV/atom
E above lowest polymorph	21	meV per atom
M_tot	3.81	μB per formula unit
Fermi-level density of states	7.055	states/eV/f.u.



The following is a DFT calculation (PBE-GGA) of a relaxed structure of FeSiSbI2.

Cell and atoms, written as extended XYZ:
```
5
Lattice="5.422 0.000 0.000 0.000 5.422 0.000 0.000 0.000 5.468" Properties=species:S:1:pos:R:3 pbc="T T T"
Fe 0.000 0.000 0.000
Si 2.711 2.711 2.734
Sb 2.711 2.711 0.000
I 0.000 2.711 2.734
I 2.711 0.000 2.734
```

Summary:
V	161	Å³/cell
energy relative to the elements, uncorrected	966	meV/atom
E above lowest polymorph	172	meV per atom
M_tot	3.94	μB per formula unit
Fermi-level density of states	5.977	states/eV/f.u.



The following is a DFT calculation (PBE-GGA) of a relaxed structure of FeSiSbI2.

Cell and atoms, written as extended XYZ:
```
5
Lattice="5.278 0.000 0.000 0.000 5.278 0.000 0.000 0.000 5.015" Properties=species:S:1:pos:R:3 pbc="T T T"
Fe 0.000 0.000 0.000
Si 2.639 2.639 2.508
Sb 0.000 0.000 2.508
I 0.000 2.639 0.000
I 2.639 0.000 0.000
```

Summary:
V	140	Å³/cell
energy relative to the elements, uncorrected	794	meV/atom
E above lowest polymorph	0	meV per atom
M_tot	2.01	μB per formula unit
Fermi-level density of states	7.252	states/eV/f.u.



The following is a DFT calculation (PBE-GGA) of a relaxed structure of FeSnSb2I.

Cell and atoms, written as extended XYZ:
```
5
Lattice="5.695 0.000 0.000 0.000 5.695 0.000 0.000 0.000 5.845" Properties=species:S:1:pos:R:3 pbc="T T T"
Fe 0.000 0.000 0.000
Sn 2.847 2.847 2.922
Sb 0.000 2.847 2.922
Sb 2.847 0.000 2.922
I 2.847 2.847 0.000
```

Summary:
V	190	Å³/cell
energy relative to the elements, uncorrected	1190	meV/atom
E above lowest polymorph	785	meV per atom
M_tot	3.30	μB per formula unit
Fermi-level density of states	8.878	states/eV/f.u.



The following is a DFT calculation (PBE-GGA) of a relaxed structure of FeSnSb2I.

Cell and atoms, written as extended XYZ:
```
5
Lattice="4.931 0.000 0.000 0.000 4.931 0.000 0.000 0.000 5.870" Properties=species:S:1:pos:R:3 pbc="T T T"
Fe 0.000 0.000 0.000
Sn 2.466 2.466 2.935
Sb 0.000 2.466 0.000
Sb 2.466 0.000 0.000
I 0.000 0.000 2.935
```

Summary:
V	143	Å³/cell
energy relative to the elements, uncorrected	405	meV/atom
E above lowest polymorph	0	meV per atom
M_tot	2.04	μB per formula unit
Fermi-level density of states	4.998	states/eV/f.u.



The following is a DFT calculation (PBE-GGA) of a relaxed structure of FeSnSbI2.

Cell and atoms, written as extended XYZ:
```
5
Lattice="5.416 0.000 0.000 0.000 5.416 0.000 0.000 0.000 5.122" Properties=species:S:1:pos:R:3 pbc="T T T"
Fe 0.000 0.000 0.000
Sn 2.708 2.708 2.561
Sb 0.000 0.000 2.561
I 0.000 2.708 0.000
I 2.708 0.000 0.000
```

Summary:
V	150	Å³/cell
energy relative to the elements, uncorrected	389	meV/atom
E above lowest polymorph	0	meV per atom
M_tot	2.86	μB per formula unit
Fermi-level density of states	7.836	states/eV/f.u.



The following is a DFT calculation (PBE-GGA) of a relaxed structure of TaFeSbI2.

Cell and atoms, written as extended XYZ:
```
5
Lattice="4.990 0.000 0.000 0.000 4.990 0.000 0.000 0.000 4.975" Properties=species:S:1:pos:R:3 pbc="T T T"
Ta 0.000 0.000 0.000
Fe 2.495 2.495 2.488
Sb 2.495 2.495 0.000
I 0.000 2.495 2.488
I 2.495 0.000 2.488
```

Summary:
V	124	Å³/cell
energy relative to the elements, uncorrected	1294	meV/atom
E above lowest polymorph	286	meV per atom
M_tot	0.02	μB per formula unit
Fermi-level density of states	8.230	states/eV/f.u.